Entry 1:
The following is a DFT calculation (PBE-GGA) of a relaxed Na2MnTc crystal.

## Properties
Offset from the most stable computed form in meV per atom: 545

Geometry as POSCAR:
```
Na2MnTc
1.0
0.0000 3.3562 3.3562
3.3562 0.0000 3.3562
3.3562 3.3562 0.0000
Na Mn Tc
2 1 1
direct
0.2500 0.2500 0.2500
0.7500 0.7500 0.7500
0.0000 0.0000 0.0000
0.5000 0.5000 0.5000
```

Entry 2:
The following is a DFT calculation (PBE-GGA) of a relaxed NaMnTc2 crystal.

## Properties
Offset from the most stable computed form in meV per atom: 0

Geometry as POSCAR:
```
NaMnTc2
1.0
0.0000 3.0358 3.0358
3.0358 0.0000 3.0358
3.0358 3.0358 0.0000
Na Mn Tc
1 1 2
direct
0.0000 0.0000 0.0000
0.5000 0.5000 0.5000
0.2500 0.2500 0.2500
0.7500 0.7500 0.7500
```

Entry 3:
The following is a DFT calculation (PBE-GGA) of a relaxed NaMnTc2 crystal.

## Properties
Offset from the most stable computed form in meV per atom: 55

Geometry as POSCAR:
```
NaMnTc2
1.0
-3.5221 3.5221 2.6344
3.5221 -3.5221 2.6344
3.5221 3.5221 -2.6344
Na Mn Tc
2 2 4
direct
0.0000 0.0000 0.0000
0.7500 0.2500 0.5000
0.2500 0.7500 0.5000
0.5000 0.5000 0.0000
0.1902 0.6250 0.0652
0.3750 0.4402 0.5652
0.5598 0.1250 0.9348
0.8750 0.8098 0.4348
```